# PBE TcAgPt3, optimized geometry
data_TcAgPt3
_symmetry_space_group_name_H-M 'P m -3 m'
_symmetry_Int_Tables_number 221
_symmetry_space_group_name_Hall '-P 4 2 3'
_cell_length_a 4.803
_cell_length_b 4.803
_cell_length_c 4.803
_cell_angle_alpha 90.00
_cell_angle_beta 90.00
_cell_angle_gamma 90.00
loop_
_atom_site_label
_atom_site_fract_x
_atom_site_fract_y
_atom_site_fract_z
Tc1 0.000 0.000 0.000
Ag1 0.500 0.500 0.500
Pt1 0.000 0.000 0.500
# Energy   -5.12 eV/atom



# PBE InReSeN2, optimized geometry
data_InReSeN2
_symmetry_space_group_name_H-M 'P 4/m m m'
_symmetry_Int_Tables_number 123
_symmetry_space_group_name_Hall '-P 4 2'
_cell_length_a 4.151
_cell_length_b 4.151
_cell_length_c 5.640
_cell_angle_alpha 90.00
_cell_angle_beta 90.00
_cell_angle_gamma 90.00
loop_
_atom_site_label
_atom_site_fract_x
_atom_site_fract_y
_atom_site_fract_z
In1 0.000 0.000 0.000
Re1 0.500 0.500 0.500
Se1 0.000 0.000 0.500
N1 0.000 0.500 0.000
# Formation energy from raw total energies   2.16 eV per atom
# Energy   -4.90 eV/atom



# PBE NdHg2Se, optimized geometry
data_NdHg2Se
_symmetry_space_group_name_H-M 'R -3 m'
_symmetry_Int_Tables_number 166
_symmetry_space_group_name_Hall '-R 3 2"'
_cell_length_a 3.6241
_cell_length_b 3.6241
_cell_length_c 31.4868
_cell_angle_alpha 90.00
_cell_angle_beta 90.00
_cell_angle_gamma 120.00
loop_
_atom_site_label
_atom_site_fract_x
_atom_site_fract_y
_atom_site_fract_z
Nd1 0.0000 0.0000 0.0000
Hg1 0.0000 0.0000 0.0981
Se1 0.0000 0.0000 0.5000
# Formation energy from raw total energies   0.15 eV per atom
# Energy   -2.06 eV/atom



# PBE LiTcNi, optimized geometry
data_LiTcNi
_symmetry_space_group_name_H-M 'P 4/n m m'
_symmetry_Int_Tables_number 129
_cell_length_a 3.579
_cell_length_b 3.579
_cell_length_c 6.541
_cell_angle_alpha 90.00
_cell_angle_beta 90.00
_cell_angle_gamma 90.00
loop_
_symmetry_equiv_pos_as_xyz
'x,y,z'
'-x,-y,-z'
'-y+1/2,x,z'
'y+1/2,-x,-z'
'-x+1/2,-y+1/2,z'
'x+1/2,y+1/2,-z'
'y,-x+1/2,z'
'-y,x+1/2,-z'
'x+1/2,-y,-z'
'-x+1/2,y,z'
'-y,-x,-z'
'y,x,z'
'-x,y+1/2,-z'
'x,-y+1/2,z'
'y+1/2,x+1/2,-z'
'-y+1/2,-x+1/2,z'
loop_
_atom_site_label
_atom_site_fract_x
_atom_site_fract_y
_atom_site_fract_z
Li1 0.250 0.250 0.160
Tc1 0.250 0.750 0.500
Ni1 0.250 0.250 0.782
# Energy   -5.75 eV/atom



# PBE SmGa3Pd, optimized geometry
data_SmGa3Pd
_symmetry_space_group_name_H-M 'I -4 m 2'
_symmetry_Int_Tables_number 119
_symmetry_space_group_name_Hall 'I -4 -2'
_cell_length_a 4.184
_cell_length_b 4.184
_cell_length_c 10.884
_cell_angle_alpha 90.00
_cell_angle_beta 90.00
_cell_angle_gamma 90.00
loop_
_atom_site_label
_atom_site_fract_x
_atom_site_fract_y
_atom_site_fract_z
Sm1 0.000 0.000 0.000
Ga1 0.000 0.000 0.387
Ga2 0.000 0.500 0.250
Pd1 0.000 0.500 0.750
# Energy   -4.48 eV/atom



Number 1: spin magnetization 0.0 μB per cell. Number 2: spin magnetization 1.6 μB per cell. Number 3: spin magnetization 0.0 μB per cell. Number 4: spin magnetization 0.0 μB per cell. Number 5: spin magnetization 0.0 μB per cell.